1:
{"formula": "LiIn3Sn3", "functional": "GGA-PBE", "state": "relaxed", "lattice": [[-3.0916, 0.6485, -0.2569], [-1.9880, -11.4304, -4.9281], [-0.6818, 1.6916, 12.4726]], "species": ["In", "In", "Sn", "Sn", "Li", "In", "Sn", "Sn", "Sn", "Li", "In", "In", "In", "Sn"], "frac_coords": [[0.2500, 0.2164, 0.2138], [0.7500, 0.7836, 0.7862], [0.7500, 0.6145, 0.5208], [0.7500, 0.4792, 0.0938], [0.7500, 0.6667, 0.3333], [0.2500, 0.7862, 0.0025], [0.7500, 0.9062, 0.3855], [0.2500, 0.3855, 0.4792], [0.2500, 0.0938, 0.6145], [0.2500, 0.3333, 0.6667], [0.7500, 0.0025, 0.2164], [0.7500, 0.2138, 0.9975], [0.2500, 0.9975, 0.7836], [0.2500, 0.5208, 0.9062]], "magnetic_moment_mub_per_atom": 0.000, "dos_ef_per_ev_cell": 6.296, "crystal_system": "hexagonal"}


2:
{"formula": "LiIn3Sn3", "functional": "GGA-PBE", "state": "relaxed", "lattice": [[8.1383, 0.0000, 0.0000], [0.0000, 8.1383, 0.0000], [0.0000, 0.0000, 8.1383]], "species": ["Sn", "Sn", "Sn", "In", "Li", "In", "In", "Li", "In", "In", "Sn", "In", "Sn", "Sn"], "frac_coords": [[0.7500, 0.0000, 0.5000], [0.0000, 0.5000, 0.2500], [0.5000, 0.2500, 0.0000], [0.0000, 0.7500, 0.5000], [0.5000, 0.5000, 0.5000], [0.7500, 0.5000, 0.0000], [0.5000, 0.0000, 0.2500], [0.0000, 0.0000, 0.0000], [0.0000, 0.2500, 0.5000], [0.5000, 0.0000, 0.7500], [0.2500, 0.0000, 0.5000], [0.2500, 0.5000, 0.0000], [0.0000, 0.5000, 0.7500], [0.5000, 0.7500, 0.0000]], "magnetic_moment_mub_per_atom": 0.000, "dos_ef_per_ev_cell": 11.123, "crystal_system": "cubic"}


Energies, relative to the best one, in meV/atom: 1 0; 2 177.


1:
{"formula": "LiTbInSn", "functional": "GGA-PBE", "state": "relaxed", "lattice": [[5.1688, 0.0000, 0.0000], [2.5844, 4.4763, 0.0000], [2.5844, 1.4921, 4.2203]], "species": ["Tb", "Sn", "Li", "In"], "frac_coords": [[0.7500, 0.7500, 0.7500], [0.5000, 0.5000, 0.5000], [0.2500, 0.2500, 0.2500], [0.0000, 0.0000, 0.0000]], "magnetic_moment_mub_per_atom": 0.000, "dos_ef_per_ev_cell": 2.265, "crystal_system": "cubic"}


2:
{"formula": "LiTbInSn", "functional": "GGA-PBE", "state": "relaxed", "lattice": [[-2.0805, -1.6725, 3.5509], [2.3064, -3.8677, -0.4704], [3.3830, 1.6801, 2.7735]], "species": ["Sn", "Li", "In", "Tb"], "frac_coords": [[0.0000, 0.0000, 0.0000], [0.5000, 0.0000, 0.5000], [0.0000, 0.5000, 0.5000], [0.5000, 0.5000, 0.0000]], "magnetic_moment_mub_per_atom": 0.000, "dos_ef_per_ev_cell": 1.510, "crystal_system": "orthorhombic"}


Energies, relative to the best one, in meV/atom: 1 107; 2 0.


1:
{"formula": "LiTlInSn", "functional": "GGA-PBE", "state": "relaxed", "lattice": [[5.2685, 0.0000, 0.0000], [2.6343, 4.5627, 0.0000], [2.6343, 1.5209, 4.3017]], "species": ["Li", "In", "Sn", "Tl"], "frac_coords": [[0.7500, 0.7500, 0.7500], [0.2500, 0.2500, 0.2500], [0.5000, 0.5000, 0.5000], [0.0000, 0.0000, 0.0000]], "magnetic_moment_mub_per_atom": 0.000, "dos_ef_per_ev_cell": 1.825, "crystal_system": "cubic"}


2:
{"formula": "LiTlInSn", "functional": "GGA-PBE", "state": "relaxed", "lattice": [[3.2364, 0.0000, 0.0000], [0.0000, 3.2364, 0.0000], [0.0000, 0.0000, 9.4930]], "species": ["Li", "Sn", "Tl", "In"], "frac_coords": [[0.0000, 0.0000, 0.5655], [0.5000, 0.5000, 0.7756], [0.0000, 0.0000, 0.0818], [0.5000, 0.5000, 0.3619]], "magnetic_moment_mub_per_atom": 0.000, "dos_ef_per_ev_cell": 1.561, "crystal_system": "tetragonal"}


Energies, relative to the best one, in meV/atom: 1 28; 2 0.


1:
{"formula": "Sr3LiIn", "functional": "GGA-PBE", "state": "relaxed", "lattice": [[6.4429, 0.0000, 0.0000], [0.0000, 6.4429, 0.0000], [0.0000, 0.0000, 6.4429]], "species": ["Sr", "Li", "Sr", "In", "Sr"], "frac_coords": [[0.0000, 0.5000, 0.0000], [0.5000, 0.5000, 0.5000], [0.5000, 0.0000, 0.0000], [0.0000, 0.0000, 0.0000], [0.0000, 0.0000, 0.5000]], "magnetic_moment_mub_per_atom": 0.000, "dos_ef_per_ev_cell": 2.524, "crystal_system": "cubic"}


2:
{"formula": "Sr3LiIn", "functional": "GGA-PBE", "state": "relaxed", "lattice": [[-1.7567, -5.2324, -1.9064], [0.4377, -2.1241, 5.4266], [-11.6154, 0.2626, 1.0397]], "species": ["Li", "In", "In", "Sr", "Sr", "Sr", "Li", "Sr", "Sr", "Sr"], "frac_coords": [[0.4853, 0.7500, 0.6778], [0.9829, 0.2500, 0.6826], [0.6655, 0.7500, 0.3174], [0.7529, 0.2500, 0.1425], [0.2520, 0.7500, 0.1444], [0.0735, 0.7500, 0.5014], [0.1631, 0.2500, 0.3222], [0.8954, 0.7500, 0.8575], [0.3964, 0.2500, 0.8556], [0.5749, 0.2500, 0.4986]], "magnetic_moment_mub_per_atom": 0.000, "dos_ef_per_ev_cell": 8.691, "crystal_system": "orthorhombic"}


Energies, relative to the best one, in meV/atom: 1 252; 2 0.


1:
{"formula": "SrLi2In4", "functional": "GGA-PBE", "state": "relaxed", "lattice": [[-4.5523, -2.5200, -2.1785], [-0.0214, -0.9524, -6.1567], [0.1064, -6.2203, -0.3302]], "species": ["In", "Li", "In", "In", "In", "Sr", "Li"], "frac_coords": [[0.3062, 0.3875, 0.0000], [0.7500, 0.5000, 0.5000], [0.6938, 0.6125, 0.0000], [0.6938, 0.0000, 0.6125], [0.3062, 0.0000, 0.3875], [0.0000, 0.0000, 0.0000], [0.2500, 0.5000, 0.5000]], "magnetic_moment_mub_per_atom": 0.000, "dos_ef_per_ev_cell": 2.335, "crystal_system": "tetragonal"}


2:
{"formula": "SrLi2In4", "functional": "GGA-PBE", "state": "relaxed", "lattice": [[-1.0541, -1.5462, -4.5890], [1.7729, -2.7812, 0.5299], [-9.1645, -2.7487, 5.7073]], "species": ["In", "In", "In", "Li", "Li", "Sr", "In"], "frac_coords": [[0.3410, 0.3410, 0.6820], [0.6590, 0.6590, 0.3180], [0.0819, 0.5819, 0.1638], [0.2054, 0.2054, 0.4108], [0.7946, 0.7946, 0.5892], [0.5000, 0.0000, 0.0000], [0.9181, 0.4181, 0.8362]], "magnetic_moment_mub_per_atom": 0.000, "dos_ef_per_ev_cell": 3.174, "crystal_system": "orthorhombic"}


Energies, relative to the best one, in meV/atom: 1 0; 2 72.


1:
{"formula": "SrLi3In", "functional": "GGA-PBE", "state": "relaxed", "lattice": [[-5.2911, 1.3604, 1.7986], [-1.5471, -5.5273, -0.3706], [1.6408, -0.8247, 5.4506]], "species": ["Li", "Sr", "In", "Li", "Li"], "frac_coords": [[0.5000, 0.0000, 0.0000], [0.0000, 0.0000, 0.0000], [0.5000, 0.5000, 0.5000], [0.0000, 0.5000, 0.0000], [0.0000, 0.0000, 0.5000]], "magnetic_moment_mub_per_atom": 0.000, "dos_ef_per_ev_cell": 3.051, "crystal_system": "cubic"}


2:
{"formula": "SrLi3In", "functional": "GGA-PBE", "state": "relaxed", "lattice": [[5.1058, -0.0006, 0.0003], [-0.0008, 7.5274, 1.8392], [0.0001, 0.4103, 6.8308]], "species": ["Li", "Sr", "In", "Li", "Li", "Li", "Li", "Li", "Sr", "In"], "frac_coords": [[0.8813, 0.6100, 0.5479], [0.8812, 0.1119, 0.5781], [0.3811, 0.7691, 0.6378], [0.8803, 0.6899, 0.8974], [0.3803, 0.0647, 0.2583], [0.8812, 0.2843, 0.0176], [0.3813, 0.9849, 0.9087], [0.3816, 0.3903, 0.7887], [0.3810, 0.5632, 0.2277], [0.8807, 0.9056, 0.1683]], "magnetic_moment_mub_per_atom": 0.000, "dos_ef_per_ev_cell": 6.701, "crystal_system": "monoclinic"}


3:
{"formula": "SrLi3In", "functional": "GGA-PBE", "state": "relaxed", "lattice": [[-4.3265, 4.6252, 0.0719], [-4.1156, -3.7844, -4.2090], [-0.5651, -0.6365, 6.9457]], "species": ["Li", "Li", "In", "Sr", "Li", "Li", "Li", "In", "Li", "Sr"], "frac_coords": [[0.2500, 0.8100, 0.1899], [0.7500, 0.1900, 0.8101], [0.5000, 0.0000, 0.0000], [0.7499, 0.6667, 0.3335], [0.2500, 0.8100, 0.6200], [0.2500, 0.3800, 0.1899], [0.7500, 0.6200, 0.8101], [0.0000, 0.0000, 0.0000], [0.7500, 0.1900, 0.3800], [0.2501, 0.3333, 0.6666]], "magnetic_moment_mub_per_atom": 0.000, "dos_ef_per_ev_cell": 6.408, "crystal_system": "hexagonal"}


Energies, relative to the best one, in meV/atom: 1 948; 2 0; 3 67.


1:
{"formula": "Sr3Li4In4", "functional": "GGA-PBE", "state": "relaxed", "lattice": [[4.0753, 0.0004, 0.4584], [-0.0873, 4.9969, 0.7871], [0.3078, 0.1337, 15.4928]], "species": ["Li", "Li", "In", "Li", "Sr", "Li", "In", "Sr", "In", "Sr", "In"], "frac_coords": [[0.7425, 0.7430, 0.5138], [0.4034, 0.9034, 0.1925], [0.4508, 0.4500, 0.0995], [0.5966, 0.0966, 0.8075], [0.8533, 0.3531, 0.2926], [0.2576, 0.2570, 0.4862], [0.3081, 0.8082, 0.3828], [0.0000, 0.0000, 0.0000], [0.5492, 0.5500, 0.9005], [0.1467, 0.6469, 0.7073], [0.6919, 0.1919, 0.6172]], "magnetic_moment_mub_per_atom": 0.000, "dos_ef_per_ev_cell": 8.387, "crystal_system": "triclinic"}


2:
{"formula": "Sr3Li4In4", "functional": "GGA-PBE", "state": "relaxed", "lattice": [[-2.8261, -1.3623, -6.6217], [4.7538, -5.2902, 1.7622], [-5.3878, 0.1944, 4.9622]], "species": ["In", "Sr", "Sr", "In", "In", "Li", "In", "Sr", "Li", "Li", "Li"], "frac_coords": [[0.5892, 0.0000, 0.0000], [0.0000, 0.5000, 0.5000], [0.5000, 0.5000, 0.0000], [0.4108, 0.4108, 0.4108], [0.0000, 0.0000, 0.5892], [0.0000, 0.2312, 0.0000], [0.0000, 0.5892, 0.0000], [0.5000, 0.0000, 0.5000], [0.7688, 0.7688, 0.7688], [0.0000, 0.0000, 0.2312], [0.2312, 0.0000, 0.0000]], "magnetic_moment_mub_per_atom": 0.000, "dos_ef_per_ev_cell": 8.264, "crystal_system": "cubic"}


Energies, relative to the best one, in meV/atom: 1 0; 2 9.


1:
{"formula": "SrLiIn4", "functional": "GGA-PBE", "state": "relaxed", "lattice": [[4.2711, 0.0024, 2.0557], [1.8428, 5.9145, 1.6449], [-0.4396, 0.1216, 6.3938]], "species": ["In", "Sr", "In", "In", "In", "Li"], "frac_coords": [[0.6624, 0.1418, 0.0335], [0.0000, 0.0000, 0.5000], [0.6624, 0.5337, 0.6417], [0.3376, 0.8582, 0.9665], [0.3376, 0.4663, 0.3583], [0.0000, 0.5000, 0.0000]], "magnetic_moment_mub_per_atom": 0.000, "dos_ef_per_ev_cell": 1.780, "crystal_system": "monoclinic"}


2:
{"formula": "SrLiIn4", "functional": "GGA-PBE", "state": "relaxed", "lattice": [[-6.0333, -0.2560, 1.3844], [-3.6745, 4.8268, -1.2583], [-4.2038, -0.4058, -4.5328]], "species": ["Li", "In", "In", "In", "In", "Sr"], "frac_coords": [[0.7500, 0.7500, 0.7500], [0.3752, 0.3752, 0.3752], [0.3752, 0.3752, 0.8744], [0.3752, 0.8744, 0.3752], [0.8744, 0.3752, 0.3752], [0.0000, 0.0000, 0.0000]], "magnetic_moment_mub_per_atom": 0.000, "dos_ef_per_ev_cell": 2.503, "crystal_system": "cubic"}


Energies, relative to the best one, in meV/atom: 1 0; 2 93.


1:
{"formula": "Sr3Li2In4", "functional": "GGA-PBE", "state": "relaxed", "lattice": [[-1.4628, -4.8317, 2.2336], [5.5217, 0.9163, -1.2233], [-0.0710, 4.0753, 8.7692]], "species": ["In", "In", "Sr", "Sr", "Sr", "Li", "Li", "In", "In"], "frac_coords": [[0.3125, 0.6251, 0.9068], [0.0681, 0.1362, 0.3764], [0.3787, 0.7573, 0.2703], [0.0000, 0.0000, 0.0000], [0.6213, 0.2427, 0.7297], [0.7254, 0.4509, 0.3911], [0.2746, 0.5491, 0.6089], [0.6875, 0.3749, 0.0932], [0.9319, 0.8638, 0.6236]], "magnetic_moment_mub_per_atom": 0.000, "dos_ef_per_ev_cell": 5.143, "crystal_system": "monoclinic"}


2:
{"formula": "Sr3Li2In4", "functional": "GGA-PBE", "state": "relaxed", "lattice": [[5.1323, 0.0000, 0.0000], [-2.5662, 4.4447, 0.0000], [0.0000, 0.0000, 24.4350]], "species": ["In", "Li", "Li", "Sr", "In", "In", "Sr", "Sr", "In", "In", "Li", "Sr", "In", "Sr", "Li", "Sr", "In", "In"], "frac_coords": [[0.6667, 0.3333, 0.6813], [0.0000, 0.0000, 0.8342], [0.6667, 0.3333, 0.1552], [0.3333, 0.6667, 0.7511], [0.0000, 0.0000, 0.3230], [0.6667, 0.3333, 0.4941], [0.3333, 0.6667, 0.2555], [0.3333, 0.6667, 0.5811], [0.6667, 0.3333, 0.8254], [0.0000, 0.0000, 0.6550], [0.0000, 0.0000, 0.5052], [0.3333, 0.6667, 0.9107], [0.6667, 0.3333, 0.0107], [0.3333, 0.6667, 0.0797], [0.0000, 0.0000, 0.1780], [0.3333, 0.6667, 0.4209], [0.6667, 0.3333, 0.3539], [0.0000, 0.0000, 0.9852]], "magnetic_moment_mub_per_atom": 0.000, "dos_ef_per_ev_cell": 11.907, "crystal_system": "trigonal"}


Energies, relative to the best one, in meV/atom: 1 0; 2 47.


1:
{"formula": "SrLiTl2In", "functional": "GGA-PBE", "state": "relaxed", "lattice": [[5.2417, 0.0000, 0.0000], [0.0000, 5.2417, 0.0000], [0.0000, 0.0000, 5.1950]], "species": ["Tl", "Tl", "Sr", "Li", "In"], "frac_coords": [[0.0000, 0.5000, 0.0000], [0.5000, 0.0000, 0.0000], [0.5000, 0.5000, 0.5000], [0.0000, 0.0000, 0.0000], [0.0000, 0.0000, 0.5000]], "magnetic_moment_mub_per_atom": 0.000, "dos_ef_per_ev_cell": 2.771, "crystal_system": "tetragonal"}


2:
{"formula": "SrLiTl2In", "functional": "GGA-PBE", "state": "relaxed", "lattice": [[6.8741, 0.0000, 0.0000], [0.0000, 5.9988, 0.0000], [0.0000, 0.0000, 6.8282]], "species": ["In", "Sr", "Tl", "Tl", "Li", "Tl", "Li", "In", "Tl", "Sr"], "frac_coords": [[0.6471, 0.7500, 0.0000], [0.2178, 0.2500, 0.5000], [0.7234, 0.2500, 0.7487], [0.7234, 0.2500, 0.2513], [0.0000, 0.5000, 0.0000], [0.2766, 0.7500, 0.7487], [0.0000, 0.0000, 0.0000], [0.3529, 0.2500, 0.0000], [0.2766, 0.7500, 0.2513], [0.7822, 0.7500, 0.5000]], "magnetic_moment_mub_per_atom": 0.000, "dos_ef_per_ev_cell": 3.723, "crystal_system": "orthorhombic"}


Energies, relative to the best one, in meV/atom: 1 77; 2 0.


1:
{"formula": "SrLiTlIn", "functional": "GGA-PBE", "state": "relaxed", "lattice": [[5.4045, 0.0000, 0.0000], [2.7023, 4.6804, 0.0000], [2.7023, 1.5601, 4.4128]], "species": ["Li", "Sr", "In", "Tl"], "frac_coords": [[0.0000, 0.0000, 0.0000], [0.5000, 0.5000, 0.5000], [0.7500, 0.7500, 0.7500], [0.2500, 0.2500, 0.2500]], "magnetic_moment_mub_per_atom": 0.000, "dos_ef_per_ev_cell": 2.801, "crystal_system": "cubic"}


2:
{"formula": "SrLiTlIn", "functional": "GGA-PBE", "state": "relaxed", "lattice": [[-2.5055, 2.4518, -3.3295], [2.7555, -3.7451, -1.3211], [-5.5088, -1.9000, 2.7464]], "species": ["Sr", "Tl", "Li", "In"], "frac_coords": [[0.6161, 0.2322, 0.4903], [0.8276, 0.6552, 0.1247], [0.1160, 0.2319, 0.9901], [0.4066, 0.8133, 0.8622]], "magnetic_moment_mub_per_atom": 0.000, "dos_ef_per_ev_cell": 2.073, "crystal_system": "trigonal"}


Energies, relative to the best one, in meV/atom: 1 57; 2 0.